12
Lattice="5.9608 0.0000 0.0000 0.0000 5.7029 0.0000 -0.8925 0.0000 6.0833" Properties=species:S:1:pos:R:3 comment="GePbF4, relaxed, DFT GGA-PBE" spacegroup=P2/c mass_density_g_cm3=5.71 formation_energy_uncorrected_mev_per_atom=-2194 pbc="T T T"
Ge -0.2231 1.1111 1.5208
Ge -0.6694 4.5918 4.5625
Pb 2.3111 1.3521 4.5625
Pb 2.7573 4.3508 1.5208
F 0.8542 2.4134 2.4330
F 0.4080 3.2895 5.4746
F 1.7242 0.4809 0.3011
F 1.2780 5.2220 3.3427
F 3.7904 0.4809 2.7406
F 3.3441 5.2220 5.7822
F 4.6604 2.4134 0.6087
F 4.2142 3.2895 3.6503